Entry 1:
Compound: BeTe2Pb
Source: Alexandria
Functional: PBE-GGA
Structure: optimized geometry

Summary:
ΔE_f (raw)   -63 meV per atom
Total moment   0.0 Bohr magnetons per cell
ΔE to the lowest computed polymorph   0.64 eV/f.u.
Density of states at the Fermi level   0.15 states/eV per atom

Cell lengths 4.1127, 4.1127, 7.6419 Å; angles 74.27, 74.27, 59.75 degrees
Last column: nearest neighbours and their distance in Å.
Fractional positions:
Pb 0.7500 0.7500 0.7500  6 Te 3.26
Be 0.2500 0.2500 0.2500  6 Te 2.74-2.77
Te 0.9794 0.9794 0.0574  3 Be 2.74-2.77
Te 0.5206 0.5206 0.4426  3 Be 2.74-2.77

***

Entry 2:
Compound: BeTe2Pb
Source: Alexandria
Functional: PBE-GGA
Structure: optimized geometry

Summary:
ΔE_f (raw)   478 meV per atom
Total moment   0.0 Bohr magnetons per cell
ΔE to the lowest computed polymorph   2.81 eV/f.u.
Density of states at the Fermi level   0.69 states/eV per atom

Cell lengths 3.7978, 5.2983, 5.2983 Å; angles 90.00, 90.00, 90.00 degrees
Last column: nearest neighbours and their distance in Å.
Fractional positions:
Pb 0.5000 0.0000 0.5000  8 Te 3.26
Be 0.5000 0.5000 0.0000  8 Te 3.26
Te 0.0000 0.0000 0.0000  4 Pb 3.26, 4 Be 3.26
Te 0.0000 0.5000 0.5000  4 Pb 3.26, 4 Be 3.26

***

Entry 3:
Compound: Be2TePb
Source: Alexandria
Functional: PBE-GGA
Structure: optimized geometry

Summary:
ΔE_f (raw)   321 meV per atom
Total moment   0.0 Bohr magnetons per cell
ΔE to the lowest computed polymorph   0.74 eV/f.u.
Density of states at the Fermi level   0.18 states/eV per atom

Cell lengths 6.0146, 6.0146, 6.7193 Å; angles 63.41, 63.41, 90.00 degrees
Last column: nearest neighbours and their distance in Å.
Fractional positions:
Pb 0.0000 0.0000 0.0000  4 Be 2.58
Pb 0.7500 0.2500 0.5000  4 Be 2.58
Be 0.6022 0.1250 0.2500  2 Te 2.41, 2 Pb 2.58
Be 0.1478 0.6250 0.2500  2 Te 2.41, 2 Pb 2.58
Be 0.3750 0.3978 0.7500  2 Te 2.41, 2 Pb 2.58
Be 0.8750 0.8522 0.7500  2 Te 2.41, 2 Pb 2.58
Te 0.5000 0.5000 0.0000  4 Be 2.41
Te 0.2500 0.7500 0.5000  4 Be 2.41

***

Entry 4:
Compound: BeTe2Pb
Source: Alexandria
Functional: PBE-GGA
Structure: optimized geometry

Summary:
ΔE_f (raw)   -224 meV per atom
Total moment   0.0 Bohr magnetons per cell
ΔE to the lowest computed polymorph   0.00 eV/f.u.
Density of states at the Fermi level   0.00 states/eV per atom

Cell lengths 6.8834, 6.8834, 7.3009 Å; angles 61.87, 61.87, 90.00 degrees
Last column: nearest neighbours and their distance in Å.
Fractional positions:
Pb 0.0000 0.0000 0.0000  4 Te 3.19
Pb 0.7500 0.2500 0.5000  4 Te 3.19
Be 0.5000 0.5000 0.0000  4 Te 2.47
Be 0.2500 0.7500 0.5000  4 Te 2.47
Te 0.5390 0.1250 0.2500  2 Be 2.47
Te 0.2110 0.6250 0.2500  2 Be 2.47
Te 0.3750 0.4610 0.7500  2 Be 2.47
Te 0.8750 0.7890 0.7500  2 Be 2.47

***

Entry 5:
Compound: Be2TePb
Source: Alexandria
Functional: PBE-GGA
Structure: optimized geometry

Summary:
ΔE_f (raw)   657 meV per atom
Total moment   0.0 Bohr magnetons per cell
ΔE to the lowest computed polymorph   2.09 eV/f.u.
Density of states at the Fermi level   0.38 states/eV per atom

Cell lengths 5.6424, 4.8292, 4.2310 Å; angles 71.39, 78.26, 119.67 degrees
Last column: nearest neighbours and their distance in Å.
Fractional positions:
Pb 0.0000 0.5000 0.5000  4 Be 2.65
Be 0.0000 0.0000 0.0000  2 Te 2.65, 2 Pb 2.65
Be 0.5000 0.0000 0.5000  2 Pb 2.65, 2 Te 2.65
Te 0.5000 0.5000 0.0000  4 Be 2.65

***

Entry 6:
Compound: Be2TePb
Source: Alexandria
Functional: PBE-GGA
Structure: optimized geometry

Summary:
ΔE_f (raw)   660 meV per atom
Total moment   0.0 Bohr magnetons per cell
ΔE to the lowest computed polymorph   2.10 eV/f.u.
Density of states at the Fermi level   0.42 states/eV per atom

Cell lengths 6.5805, 6.5805, 6.5805 Å; angles 146.87, 146.87, 47.55 degrees
Last column: nearest neighbours and their distance in Å.
Fractional positions:
Pb 0.5000 0.5000 0.0000  4 Be 2.65
Be 0.0000 0.0000 0.0000  4 Pb 2.65
Be 0.2500 0.7500 0.5000  4 Te 2.65
Te 0.7500 0.2500 0.5000  4 Be 2.65

***

Entry 7:
Compound: Be2TePb
Source: Alexandria
Functional: PBE-GGA
Structure: optimized geometry

Summary:
ΔE_f (raw)   350 meV per atom
Total moment   0.0 Bohr magnetons per cell
ΔE to the lowest computed polymorph   0.86 eV/f.u.
Density of states at the Fermi level   0.18 states/eV per atom

Cell lengths 3.4326, 3.4326, 7.7234 Å; angles 90.00, 90.00, 90.00 degrees
Last column: nearest neighbours and their distance in Å.
Fractional positions:
Pb 0.0000 0.0000 0.3928  5 Be 2.77-2.90
Be 0.0000 0.0000 0.0346  4 Te 2.69, 4 Be 2.70, 1 Pb 2.77
Be 0.5000 0.5000 0.1883  1 Te 2.35
Te 0.5000 0.5000 0.8843  1 Be 2.35

***

Entry 8:
Compound: Be2TePb
Source: Alexandria
Functional: PBE-GGA
Structure: optimized geometry

Summary:
ΔE_f (raw)   645 meV per atom
Total moment   0.0 Bohr magnetons per cell
ΔE to the lowest computed polymorph   2.04 eV/f.u.
Density of states at the Fermi level   0.26 states/eV per atom

Cell lengths 3.6880, 3.6880, 7.4927 Å; angles 90.00, 90.00, 119.71 degrees
Last column: nearest neighbours and their distance in Å.
Fractional positions:
Pb 0.5000 0.5000 0.2500  4 Be 2.77
Be 0.0000 0.0000 0.9743  2 Te 2.50, 2 Pb 2.77
Be 0.0000 0.0000 0.5257  2 Te 2.50, 2 Pb 2.77
Te 0.5000 0.5000 0.7500  4 Be 2.50

***

Entry 9:
Compound: BeTe2Pb
Source: Alexandria
Functional: PBE-GGA
Structure: optimized geometry

Summary:
ΔE_f (raw)   -199 meV per atom
Total moment   0.0 Bohr magnetons per cell
ΔE to the lowest computed polymorph   0.10 eV/f.u.
Density of states at the Fermi level   0.01 states/eV per atom

Cell lengths 4.1998, 4.9443, 7.4641 Å; angles 60.61, 90.00, 90.00 degrees
Last column: nearest neighbours and their distance in Å.
Fractional positions:
Pb 0.5000 0.6625 0.8538  5 Te 3.14-3.35
Be 0.0000 0.3372 0.4795  3 Te 2.37-2.41
Te 0.0000 0.2070 0.8306  1 Be 2.37
Te 0.5000 0.2934 0.3361  2 Be 2.41

***

Entry 10:
Compound: Be2TePb
Source: Alexandria
Functional: PBE-GGA
Structure: optimized geometry

Summary:
ΔE_f (raw)   400 meV per atom
Total moment   0.0 Bohr magnetons per cell
ΔE to the lowest computed polymorph   1.06 eV/f.u.
Density of states at the Fermi level   0.30 states/eV per atom

Cell lengths 3.7134, 3.7134, 7.0011 Å; angles 74.70, 74.70, 59.90 degrees
Last column: nearest neighbours and their distance in Å.
Fractional positions:
Pb 0.7500 0.7500 0.7500  6 Be 2.84-2.85
Be 0.9908 0.9908 0.0305  3 Te 2.59-2.60, 3 Pb 2.84-2.85
Be 0.5092 0.5092 0.4695  3 Te 2.59-2.60, 3 Pb 2.84-2.85
Te 0.2500 0.2500 0.2500  6 Be 2.59-2.60

***

Entry 11:
Compound: BeTe2Pb
Source: Alexandria
Functional: PBE-GGA
Structure: optimized geometry

Summary:
ΔE_f (raw)   474 meV per atom
Total moment   0.0 Bohr magnetons per cell
ΔE to the lowest computed polymorph   2.79 eV/f.u.
Density of states at the Fermi level   0.46 states/eV per atom

Cell lengths 5.2081, 5.2081, 3.9817 Å; angles 90.00, 90.00, 97.80 degrees
Last column: nearest neighbours and their distance in Å.
Fractional positions:
Pb 0.0000 0.5000 0.5000  8 Te 3.28, 2 Be 3.42
Be 0.5000 0.0000 0.5000  8 Te 3.28, 2 Pb 3.42
Te 0.0000 0.0000 0.0000  4 Be 3.28, 4 Pb 3.28, 2 Te 3.42
Te 0.5000 0.5000 0.0000  4 Pb 3.28, 4 Be 3.28, 2 Te 3.42

***

Entry 12:
Compound: BeTe2Pb
Source: Alexandria
Functional: PBE-GGA
Structure: optimized geometry

Summary:
ΔE_f (raw)   164 meV per atom
Total moment   0.0 Bohr magnetons per cell
ΔE to the lowest computed polymorph   1.55 eV/f.u.
Density of states at the Fermi level   0.56 states/eV per atom

Cell lengths 3.7532, 3.7532, 9.0083 Å; angles 90.00, 90.00, 120.04 degrees
Last column: nearest neighbours and their distance in Å.
Fractional positions:
Pb 0.5000 0.5000 0.7500  4 Te 3.40, 6 Pb 3.75
Be 0.5000 0.5000 0.2500  4 Te 2.51
Te 0.0000 0.0000 0.0645  2 Be 2.51
Te 0.0000 0.0000 0.4355  2 Be 2.51

***

Entry 13:
Compound: BeTe2Pb
Source: Alexandria
Functional: PBE-GGA
Structure: optimized geometry

Summary:
ΔE_f (raw)   129 meV per atom
Total moment   0.0 Bohr magnetons per cell
ΔE to the lowest computed polymorph   1.41 eV/f.u.
Density of states at the Fermi level   0.30 states/eV per atom

Cell lengths 7.7706, 7.7706, 7.7706 Å; angles 152.74, 149.06, 41.70 degrees
Last column: nearest neighbours and their distance in Å.
Fractional positions:
Pb 0.6988 0.1988 0.5000  6 Te 3.25-3.33
Be 0.4474 0.4474 0.0000  2 Te 2.53
Te 0.0268 0.0268 0.0000  4 Be 3.00, 2 Pb 3.25
Te 0.3270 0.8270 0.5000  2 Be 2.53

***

Entry 14:
Compound: BeTe2Pb
Source: Alexandria
Functional: PBE-GGA
Structure: optimized geometry

Summary:
ΔE_f (raw)   465 meV per atom
Total moment   0.0 Bohr magnetons per cell
ΔE to the lowest computed polymorph   2.76 eV/f.u.
Density of states at the Fermi level   0.48 states/eV per atom

Cell lengths 5.3073, 5.3073, 5.3073 Å; angles 60.00, 60.00, 60.00 degrees
Last column: nearest neighbours and their distance in Å.
Fractional positions:
Pb 0.5000 0.5000 0.5000  8 Te 3.25
Be 0.0000 0.0000 0.0000  8 Te 3.25
Te 0.2500 0.2500 0.2500  4 Pb 3.25, 4 Be 3.25
Te 0.7500 0.7500 0.7500  4 Pb 3.25, 4 Be 3.25

***

Entry 15:
Compound: Be2TePb
Source: Alexandria
Functional: PBE-GGA
Structure: optimized geometry

Summary:
ΔE_f (raw)   319 meV per atom
Total moment   0.0 Bohr magnetons per cell
ΔE to the lowest computed polymorph   0.74 eV/f.u.
Density of states at the Fermi level   0.11 states/eV per atom

Cell lengths 3.6743, 3.6743, 8.0339 Å; angles 90.00, 90.00, 115.04 degrees
Last column: nearest neighbours and their distance in Å.
Fractional positions:
Pb 0.0000 0.0000 0.3940  3 Be 2.64-2.73
Be 0.0000 0.0000 0.0541  2 Be 2.20, 2 Te 2.43
Be 0.5000 0.5000 0.1749  2 Be 2.20, 1 Te 2.39
Te 0.5000 0.5000 0.8770  3 Be 2.39-2.43

***

Entry 16:
Compound: BeTe2Pb
Source: Alexandria
Functional: PBE-GGA
Structure: optimized geometry

Summary:
ΔE_f (raw)   562 meV per atom
Total moment   0.0 Bohr magnetons per cell
ΔE to the lowest computed polymorph   3.14 eV/f.u.
Density of states at the Fermi level   0.53 states/eV per atom

Cell lengths 3.7613, 4.9330, 5.7927 Å; angles 90.00, 90.00, 90.00 degrees
Last column: nearest neighbours and their distance in Å.
Fractional positions:
Pb 0.0000 0.5000 0.5000  4 Be 3.10, 4 Te 3.45
Be 0.5000 0.0000 0.5000  4 Pb 3.10, 4 Te 3.45
Te 0.0000 0.0000 0.0000  4 Te 3.10, 4 Be 3.45
Te 0.5000 0.5000 0.0000  4 Te 3.10, 4 Pb 3.45

***

Entry 17:
Compound: Be2TePb
Source: Alexandria
Functional: PBE-GGA
Structure: optimized geometry

Summary:
ΔE_f (raw)   135 meV per atom
Total moment   0.0 Bohr magnetons per cell
ΔE to the lowest computed polymorph   0.00 eV/f.u.
Density of states at the Fermi level   0.06 states/eV per atom

Cell lengths 8.2776, 8.2776, 3.5904 Å; angles 89.67, 89.67, 25.04 degrees
Last column: nearest neighbours and their distance in Å.
Fractional positions:
Pb 0.4991 0.4991 0.6283  4 Be 2.82
Be 0.1335 0.1335 0.6250  2 Te 2.42, 4 Be 2.54
Be 0.6335 0.6335 0.1246  2 Te 2.42, 4 Be 2.54
Te 0.2340 0.2340 0.1221  4 Be 2.42

***

Entry 18:
Compound: BeTePb4
Source: Alexandria
Functional: PBE-GGA
Structure: optimized geometry

Summary:
ΔE_f (raw)   612 meV per atom
Total moment   0.0 Bohr magnetons per cell
Density of states at the Fermi level   0.37 states/eV per atom

Cell lengths 6.4623, 6.4623, 6.4623 Å; angles 60.00, 60.00, 60.00 degrees
Last column: nearest neighbours and their distance in Å.
Fractional positions:
Be 0.0000 0.0000 0.0000  12 Pb 3.79, 4 Te 3.96
Te 0.7500 0.7500 0.7500  12 Pb 3.79, 4 Be 3.96
Pb 0.8770 0.3743 0.3743  6 Pb 3.21-3.25
Pb 0.3743 0.3743 0.8770  6 Pb 3.21-3.25
Pb 0.3743 0.8770 0.3743  6 Pb 3.21-3.25
Pb 0.3743 0.3743 0.3743  6 Pb 3.21-3.25

***

Entry 19:
Compound: BeTePb
Source: Alexandria
Functional: PBE-GGA
Structure: optimized geometry

Summary:
ΔE_f (raw)   55 meV per atom
Total moment   0.0 Bohr magnetons per cell
ΔE to the lowest computed polymorph   0.00 eV/f.u.
Density of states at the Fermi level   0.66 states/eV per atom

Cell lengths 3.8694, 3.8694, 5.8202 Å; angles 90.00, 90.00, 120.00 degrees
Last column: nearest neighbours and their distance in Å.
Fractional positions:
Pb 0.6667 0.3333 0.2800  3 Be 2.96
Be 0.0000 0.0000 0.9459  3 Te 2.45
Te 0.3333 0.6667 0.7740  3 Be 2.45

***

Entry 20:
Compound: BeTe2Pb
Source: Alexandria
Functional: PBE-GGA
Structure: optimized geometry

Summary:
ΔE_f (raw)   40 meV per atom
Total moment   0.0 Bohr magnetons per cell
ΔE to the lowest computed polymorph   1.05 eV/f.u.
Density of states at the Fermi level   0.55 states/eV per atom

Cell lengths 6.6065, 6.6065, 6.6065 Å; angles 148.57, 130.04, 60.23 degrees
Last column: nearest neighbours and their distance in Å.
Fractional positions:
Pb 0.7500 0.2500 0.5000  4 Te 3.31, 4 Be 3.31, 2 Pb 3.58
Be 0.2500 0.7500 0.5000  4 Te 2.52
Te 0.0945 0.0945 0.0000  2 Be 2.52
Te 0.4055 0.4055 0.0000  2 Be 2.52

***

Number 1: E -13.968 eV for the cell shown. Number 2: E -11.805 eV for the cell shown. Number 3: E -26.039 eV for the cell shown. Number 4: E -29.225 eV for the cell shown. Number 5: E -11.676 eV for the cell shown. Number 6: E -11.660 eV for the cell shown. Number 7: E -12.903 eV for the cell shown. Number 8: E -11.721 eV for the cell shown. Number 9: E -14.515 eV for the cell shown. Number 10: E -12.704 eV for the cell shown. Number 11: E -11.824 eV for the cell shown. Number 12: E -13.061 eV for the cell shown. Number 13: E -13.203 eV for the cell shown. Number 14: E -11.858 eV for the cell shown. Number 15: E -13.026 eV for the cell shown. Number 16: E -11.472 eV for the cell shown. Number 17: E -13.764 eV for the cell shown. Number 18: E -18.031 eV for the cell shown. Number 19: E -10.412 eV for the cell shown. Number 20: E -13.558 eV for the cell shown.